A geometry-optimized CaMo structure, computed with GGA-PBEsol.

```
data_CaMo
_cell_length_a 2.761
_cell_length_b 2.761
_cell_length_c 5.143
_cell_angle_alpha 90.00
_cell_angle_beta 90.00
_cell_angle_gamma 90.59
_symmetry_space_group_name_H-M 'P 1'
_symmetry_Int_Tables_number 1
_symmetry_space_group_name_Hall 'P 1'
loop_
_atom_site_label
_atom_site_type_symbol
_atom_site_fract_x
_atom_site_fract_y
_atom_site_fract_z
_atom_site_occupancy
Mo1 Mo 0.500 0.500 0.500 1
Ca1 Ca 0.000 0.000 0.000 1
```

- polymorph energy (0 for the lowest one) (eV/atom) = 0.4509
- energy of formation from the pure elements (eV/atom) = 0.8717
- total moment (μB per cell) = 0.00

---

A geometry-optimized CaMo structure, computed with GGA-PBEsol.

```
data_CaMo
_cell_length_a 3.117
_cell_length_b 3.117
_cell_length_c 10.189
_cell_angle_alpha 90.00
_cell_angle_beta 90.00
_cell_angle_gamma 113.69
_symmetry_space_group_name_H-M 'P 1'
_symmetry_Int_Tables_number 1
_symmetry_space_group_name_Hall 'P 1'
loop_
_atom_site_label
_atom_site_type_symbol
_atom_site_fract_x
_atom_site_fract_y
_atom_site_fract_z
_atom_site_occupancy
Mo1 Mo 0.250 0.750 0.585 1
Mo2 Mo 0.750 0.250 0.415 1
Ca1 Ca 0.250 0.750 0.165 1
Ca2 Ca 0.750 0.250 0.835 1
```

- polymorph energy (0 for the lowest one) (eV/atom) = 0.2056
- energy of formation from the pure elements (eV/atom) = 0.6264
- total moment (μB per cell) = 0.00

---

A geometry-optimized Ca2MoN3 structure, computed with GGA-PBEsol.

```
data_Ca2MoN3
_cell_length_a 5.461
_cell_length_b 5.969
_cell_length_c 11.848
_cell_angle_alpha 87.38
_cell_angle_beta 84.27
_cell_angle_gamma 62.78
_symmetry_space_group_name_H-M 'P 1'
_symmetry_Int_Tables_number 1
_symmetry_space_group_name_Hall 'P 1'
loop_
_atom_site_label
_atom_site_type_symbol
_atom_site_fract_x
_atom_site_fract_y
_atom_site_fract_z
_atom_site_occupancy
Ca1 Ca 0.021 0.408 0.143 1
Ca2 Ca 0.571 0.408 0.357 1
Ca3 Ca 0.979 0.592 0.857 1
Ca4 Ca 0.429 0.592 0.643 1
Ca5 Ca 0.882 0.773 0.423 1
Ca6 Ca 0.345 0.773 0.077 1
Ca7 Ca 0.118 0.227 0.577 1
Ca8 Ca 0.655 0.227 0.923 1
Mo1 Mo 0.279 0.006 0.334 1
Mo2 Mo 0.715 0.006 0.166 1
Mo3 Mo 0.721 0.994 0.666 1
Mo4 Mo 0.285 0.994 0.834 1
N1 N 0.627 0.747 0.250 1
N2 N 0.373 0.253 0.750 1
N3 N 0.158 0.339 0.376 1
N4 N 0.503 0.339 0.124 1
N5 N 0.842 0.661 0.624 1
N6 N 0.497 0.661 0.876 1
N7 N 0.144 0.180 0.964 1
N8 N 0.676 0.180 0.536 1
N9 N 0.856 0.820 0.036 1
N10 N 0.324 0.820 0.464 1
N11 N 0.995 0.011 0.250 1
N12 N 0.005 0.989 0.750 1
```

- total moment (μB per cell) = 0.00
- E_form (uncorrected) (eV per atom) = -1.0298

---

A geometry-optimized Ca3MoN3 structure, computed with GGA-PBEsol.

```
data_Ca3MoN3
_cell_length_a 5.032
_cell_length_b 7.390
_cell_length_c 7.390
_cell_angle_alpha 120.00
_cell_angle_beta 90.00
_cell_angle_gamma 90.00
_symmetry_space_group_name_H-M 'P 1'
_symmetry_Int_Tables_number 1
_symmetry_space_group_name_Hall 'P 1'
loop_
_atom_site_label
_atom_site_type_symbol
_atom_site_fract_x
_atom_site_fract_y
_atom_site_fract_z
_atom_site_occupancy
Ca1 Ca 0.250 0.353 0.102 1
Ca2 Ca 0.250 0.898 0.251 1
Ca3 Ca 0.250 0.749 0.647 1
Ca4 Ca 0.750 0.647 0.898 1
Ca5 Ca 0.750 0.102 0.749 1
Ca6 Ca 0.750 0.251 0.353 1
Mo1 Mo 0.750 0.667 0.333 1
Mo2 Mo 0.250 0.333 0.667 1
N1 N 0.750 0.394 0.111 1
N2 N 0.750 0.889 0.283 1
N3 N 0.750 0.717 0.606 1
N4 N 0.250 0.606 0.889 1
N5 N 0.250 0.111 0.717 1
N6 N 0.250 0.283 0.394 1
```

- total moment (μB per cell) = 1.44
- E_form (uncorrected) (eV per atom) = -0.9459

---

A geometry-optimized CaMoW2N structure, computed with GGA-PBEsol.

```
data_CaMoW2N
_cell_length_a 3.770
_cell_length_b 4.780
_cell_length_c 4.780
_cell_angle_alpha 90.00
_cell_angle_beta 90.00
_cell_angle_gamma 90.00
_symmetry_space_group_name_H-M 'P 1'
_symmetry_Int_Tables_number 1
_symmetry_space_group_name_Hall 'P 1'
loop_
_atom_site_label
_atom_site_type_symbol
_atom_site_fract_x
_atom_site_fract_y
_atom_site_fract_z
_atom_site_occupancy
Mo1 Mo 0.500 0.500 0.500 1
Ca1 Ca 0.000 0.000 0.000 1
W1 W 0.000 0.000 0.500 1
W2 W 0.000 0.500 0.000 1
N1 N 0.500 0.000 0.000 1
```

- total moment (μB per cell) = 0.00
- E_form (uncorrected) (eV per atom) = 3.1541

---

A geometry-optimized CaNb2MoRu structure, computed with GGA-PBEsol.

```
data_CaNb2MoRu
_cell_length_a 4.763
_cell_length_b 4.829
_cell_length_c 4.829
_cell_angle_alpha 90.00
_cell_angle_beta 90.00
_cell_angle_gamma 90.00
_symmetry_space_group_name_H-M 'P 1'
_symmetry_Int_Tables_number 1
_symmetry_space_group_name_Hall 'P 1'
loop_
_atom_site_label
_atom_site_type_symbol
_atom_site_fract_x
_atom_site_fract_y
_atom_site_fract_z
_atom_site_occupancy
Ru1 Ru 0.000 0.000 0.000 1
Mo1 Mo 0.500 0.000 0.000 1
Ca1 Ca 0.500 0.500 0.500 1
Nb1 Nb 0.000 0.000 0.500 1
Nb2 Nb 0.000 0.500 0.000 1
```

- energy of formation from the pure elements (eV/atom) = 1.0206
- total moment (μB per cell) = 0.00

---

A geometry-optimized CaScNbMo2 structure, computed with GGA-PBEsol.

```
data_CaScNbMo2
_cell_length_a 4.730
_cell_length_b 4.730
_cell_length_c 5.220
_cell_angle_alpha 90.00
_cell_angle_beta 90.00
_cell_angle_gamma 90.00
_symmetry_space_group_name_H-M 'P 1'
_symmetry_Int_Tables_number 1
_symmetry_space_group_name_Hall 'P 1'
loop_
_atom_site_label
_atom_site_type_symbol
_atom_site_fract_x
_atom_site_fract_y
_atom_site_fract_z
_atom_site_occupancy
Sc1 Sc 0.500 0.500 0.500 1
Mo1 Mo 0.000 0.500 0.000 1
Mo2 Mo 0.500 0.000 0.000 1
Ca1 Ca 0.000 0.000 0.500 1
Nb1 Nb 0.000 0.000 0.000 1
```

- energy of formation from the pure elements (eV/atom) = 1.3484
- total moment (μB per cell) = 0.00

---

A geometry-optimized CaZrNb2Mo structure, computed with GGA-PBEsol.

```
data_CaZrNb2Mo
_cell_length_a 4.882
_cell_length_b 4.882
_cell_length_c 5.070
_cell_angle_alpha 90.00
_cell_angle_beta 90.00
_cell_angle_gamma 90.00
_symmetry_space_group_name_H-M 'P 1'
_symmetry_Int_Tables_number 1
_symmetry_space_group_name_Hall 'P 1'
loop_
_atom_site_label
_atom_site_type_symbol
_atom_site_fract_x
_atom_site_fract_y
_atom_site_fract_z
_atom_site_occupancy
Mo1 Mo 0.000 0.000 0.000 1
Ca1 Ca 0.500 0.500 0.500 1
Nb1 Nb 0.000 0.500 0.000 1
Nb2 Nb 0.500 0.000 0.000 1
Zr1 Zr 0.000 0.000 0.500 1
```

- energy of formation from the pure elements (eV/atom) = 0.8424
- total moment (μB per cell) = 0.00